Record 1
CuP, optimized geometry, DFT PBE-GGA; DOS(E_F) = 1.879 states/eV/f.u.; M_tot = 0.000 μB per formula unit; crystal system = trigonal; SG = No. 166
1.0
1.3339 0.7701 9.4688
-1.3339 0.7701 9.4688
0.0000 -1.5402 9.4688
Cu P
2 2
Cartesian
0.0000 0.0000 3.6810 Cu
0.0000 0.0000 24.7254 Cu
0.0000 0.0000 11.2673 P
0.0000 0.0000 17.1391 P



Record 2
CuP3, optimized geometry, DFT PBE-GGA; DOS(E_F) = 0.795 states/eV/f.u.; energy above the most stable polymorph in this dataset = 389 meV per atom; M_tot = 0.000 μB per formula unit; crystal system = hexagonal; SG = No. 187
1.0
2.5991 0.0000 0.0000
-1.2995 2.2509 0.0000
0.0000 0.0000 10.2676
Cu P
1 3
Cartesian
0.0000 0.0000 0.0000 Cu
0.0000 0.0000 5.1338 P
1.2995 0.7503 2.0675 P
1.2995 0.7503 8.2001 P



Record 3
CuP3, optimized geometry, DFT PBE-GGA; DOS(E_F) = 3.126 states/eV/f.u.; energy above the most stable polymorph in this dataset = 0 meV per atom; M_tot = 0.000 μB per formula unit; crystal system = cubic; SG = No. 229
1.0
-2.4242 2.4242 2.4242
2.4242 -2.4242 2.4242
2.4242 2.4242 -2.4242
Cu P
1 3
Cartesian
0.0000 0.0000 0.0000 Cu
2.4242 0.0000 0.0000 P
0.0000 2.4242 0.0000 P
0.0000 0.0000 2.4242 P



no.,energy relative to the elements (meV/atom)
1,368
2,549
3,161